Entry from Alexandria via LeMat-Bulk: crystalline Re2TcAu at its relaxed geometry (PBE).

Computed properties:
E_tot: -9.438 eV per atom
E above lowest polymorph: 0.000 eV per atom
Formation energy: 197 meV/atom
Space group: R3m

Cell lengths 2.7826, 2.7826, 27.8596 Å; angles 90.00, 90.00, 120.00 degrees
Fractional coordinates of all 12 atoms:
Re: 0.0000 0.0000 0.0000
Re: 0.0000 0.0000 0.2539
Re: 0.3333 0.6667 0.6667
Re: 0.3333 0.6667 0.9206
Re: 0.6667 0.3333 0.3333
Re: 0.6667 0.3333 0.5872
Tc: 0.0000 0.0000 0.7449
Tc: 0.3333 0.6667 0.4116
Tc: 0.6667 0.3333 0.0783
Au: 0.0000 0.0000 0.4991
Au: 0.3333 0.6667 0.1658
Au: 0.6667 0.3333 0.8325

Entry from Alexandria via LeMat-Bulk: crystalline ReTc2Au at its relaxed geometry (PBE).

Computed properties:
E_tot: -8.650 eV per atom
E above lowest polymorph: 0.294 eV per atom
Formation energy: 464 meV/atom
Space group: Fm-3m

Cell lengths 6.2856, 6.2856, 6.2856 Å; angles 90.00, 90.00, 90.00 degrees
Fractional coordinates of all 16 atoms:
Re: 0.0000 0.0000 0.0000
Re: 0.0000 0.5000 0.5000
Re: 0.5000 0.0000 0.5000
Re: 0.5000 0.5000 0.0000
Tc: 0.2500 0.2500 0.2500
Tc: 0.2500 0.2500 0.7500
Tc: 0.2500 0.7500 0.2500
Tc: 0.2500 0.7500 0.7500
Tc: 0.7500 0.2500 0.2500
Tc: 0.7500 0.2500 0.7500
Tc: 0.7500 0.7500 0.2500
Tc: 0.7500 0.7500 0.7500
Au: 0.0000 0.0000 0.5000
Au: 0.0000 0.5000 0.0000
Au: 0.5000 0.0000 0.0000
Au: 0.5000 0.5000 0.5000

Entry from Alexandria via LeMat-Bulk: crystalline ReTc2Au at its relaxed geometry (PBE).

Computed properties:
E_tot: -8.856 eV per atom
E above lowest polymorph: 0.088 eV per atom
Formation energy: 258 meV/atom
Space group: C2/m

Cell lengths 9.2704, 2.8104, 4.8412 Å; angles 90.00, 100.76, 90.00 degrees
Fractional coordinates of all 8 atoms:
Re: 0.0000 0.0000 0.0000
Re: 0.5000 0.5000 0.0000
Tc: 0.2417 0.5000 0.2211
Tc: 0.2583 0.0000 0.7789
Tc: 0.7417 0.0000 0.2211
Tc: 0.7583 0.5000 0.7789
Au: 0.0000 0.5000 0.5000
Au: 0.5000 0.0000 0.5000

Entry from Alexandria via LeMat-Bulk: crystalline Re2TcAu at its relaxed geometry (PBE).

Computed properties:
E_tot: -9.358 eV per atom
E above lowest polymorph: 0.080 eV per atom
Formation energy: 276 meV/atom
Space group: C2/m

Cell lengths 9.3401, 2.8266, 4.7889 Å; angles 90.00, 101.11, 90.00 degrees
Fractional coordinates of all 8 atoms:
Re: 0.2416 0.0000 0.2256
Re: 0.2584 0.5000 0.7744
Re: 0.7416 0.5000 0.2256
Re: 0.7584 0.0000 0.7744
Tc: 0.0000 0.5000 0.0000
Tc: 0.5000 0.0000 0.0000
Au: 0.0000 0.0000 0.5000
Au: 0.5000 0.5000 0.5000